# Pr4RhPb

Crystalline Pr4RhPb at its relaxed geometry (PBE, Alexandria).

## Properties
DFT total energy in eV/atom: -5.46
Crystal system: monoclinic

Cell: 8.5492 8.5492 6.2425 Å, 103.05 103.05 115.66°
Positions (direct):
Pr: 0.0708 0.7010 0.9250
Pr: 0.2034 0.3430 0.6589
Pr: 0.2990 0.9292 0.5750
Pr: 0.3430 0.2034 0.1589
Pr: 0.6570 0.7966 0.8411
Pr: 0.7010 0.0708 0.4250
Pr: 0.7966 0.6570 0.3411
Pr: 0.9292 0.2990 0.0750
Rh: 0.9996 0.0004 0.2500
Rh: 0.0004 0.9996 0.7500
Pb: 0.3783 0.6217 0.2500
Pb: 0.6217 0.3783 0.7500

***

# LaTmLuMg

Crystalline LaTmLuMg at its relaxed geometry (PBE, Alexandria).

## Properties
DFT total energy in eV/atom: -3.86
Crystal system: cubic

Cell: 5.5391 5.5391 5.5391 Å, 60.00 60.00 60.00°
Positions (direct):
La: 0.0000 0.0000 0.0000
Tm: 0.5000 0.5000 0.5000
Lu: 0.2500 0.2500 0.2500
Mg: 0.7500 0.7500 0.7500

***

- Among the records above, which one has the highest DFT total energy?
  LaTmLuMg

***

- Look up the DFT total energy of the first one.
  -5.46 eV/atom